# PBEsol Zr2Cu, relaxed
data_Zr2Cu
_symmetry_space_group_name_H-M 'C 1 2/m 1'
_symmetry_Int_Tables_number 12
_symmetry_space_group_name_Hall '-C 2y'
_cell_length_a 10.5321
_cell_length_b 3.1312
_cell_length_c 7.4199
_cell_angle_alpha 90.00
_cell_angle_beta 114.34
_cell_angle_gamma 90.00
loop_
_atom_site_label
_atom_site_fract_x
_atom_site_fract_y
_atom_site_fract_z
Zr1 0.0115 0.0000 0.2084
Zr2 0.1614 0.5000 0.5987
Cu1 0.1956 0.5000 0.0751
# VASP energy ... -7.549 eV per atom
# Spin magnetization ... 0.0 μB/f.u.